No. 1
TmTh2Pb | PBE-GGA | relaxed

Geometry as POSCAR:
```
TmTh2Pb
1.0
3.559 0.000 0.000
1.780 3.083 0.000
1.780 1.028 11.488
Th Tm Pb
2 1 1
Direct
0.083 0.083 0.751
0.251 0.251 0.248
0.500 0.500 0.499
0.666 0.666 0.002
```

## Properties
- SG = No. 160
- total moment (μB per atom) = 0.00
- V (Å³ per cell) = 126
- energy relative to the elements (kJ/mol of formula units) = -11
- calculated total energy (eV per atom) = -5.782
- calculated density (g/cm3) = 11.069



No. 2
NaP3Pt | PBE-GGA | relaxed

Geometry as POSCAR:
```
NaP3Pt
1.0
4.676 0.000 0.000
0.000 4.676 0.000
0.000 0.000 4.676
P Pt Na
3 1 1
Direct
0.500 0.000 0.000
0.000 0.000 0.500
0.000 0.500 0.000
0.500 0.500 0.500
0.000 0.000 0.000
```

## Properties
- SG = No. 221
- total moment (μB per atom) = 0.00
- V (Å³ per cell) = 102
- energy relative to the elements (kJ/mol of formula units) = 830
- calculated total energy (eV per atom) = -2.997
- calculated density (g/cm3) = 5.052



No. 3
ZrCu3F | PBE-GGA | relaxed

Geometry as POSCAR:
```
ZrCu3F
1.0
-3.035 -1.939 3.487
3.989 -1.382 2.703
-0.084 4.412 2.379
Cu Zr F
3 1 1
Direct
0.000 0.500 0.000
0.000 0.000 0.500
0.500 0.000 0.000
0.000 0.000 0.000
0.500 0.500 0.500
```

## Properties
- formation energy (no corrections) (eV/atom) = 1.159
- SG = No. 221
- total moment (μB per atom) = 0.00
- V (Å³ per cell) = 126
- calculated total energy (eV per atom) = -3.382
- calculated density (g/cm3) = 3.966



No. 4
CaTi3Tl | PBE-GGA | relaxed

Geometry as POSCAR:
```
CaTi3Tl
1.0
-1.532 0.349 4.555
1.095 -4.637 0.723
4.436 1.265 1.395
Tl Ti Ca
1 3 1
Direct
0.500 0.500 0.500
0.000 0.000 0.500
0.500 0.000 0.000
0.000 0.500 0.000
0.000 0.000 0.000
```

## Properties
- SG = No. 221
- total moment (μB per atom) = 0.66
- V (Å³ per cell) = 112
- energy relative to the elements (kJ/mol of formula units) = 757
- calculated total energy (eV per atom) = -4.042
- calculated density (g/cm3) = 5.759



No. 5
RbMgP2Cl | PBE-GGA | relaxed

Geometry as POSCAR:
```
RbMgP2Cl
1.0
-2.582 -4.636 2.037
0.217 -2.386 -5.154
5.073 -2.270 1.265
Mg Rb P Cl
1 1 2 1
Direct
0.500 0.500 0.500
0.000 0.000 0.000
0.500 0.000 0.000
0.000 0.500 0.000
0.000 0.000 0.500
```

## Properties
- formation energy (no corrections) (eV/atom) = 1.099
- SG = No. 123
- total moment (μB per atom) = 0.33
- V (Å³ per cell) = 184
- calculated total energy (eV per atom) = -1.946
- calculated density (g/cm3) = 1.868



No. 6
NaCa5Tl4 | PBE-GGA | relaxed

Geometry as POSCAR:
```
NaCa5Tl4
1.0
-3.616 1.475 -0.247
-1.349 -2.939 2.203
3.362 11.054 16.803
Ca Tl Na
5 4 1
Direct
0.500 0.500 0.310
0.500 0.500 0.690
0.500 0.500 0.876
0.500 0.500 0.124
0.500 0.500 0.500
0.000 0.000 0.213
0.000 0.000 0.405
0.000 0.000 0.787
0.000 0.000 0.595
0.000 0.000 0.000
```

## Properties
- SG = No. 123
- total moment (μB per atom) = 0.00
- V (Å³ per cell) = 312
- energy relative to the elements (kJ/mol of formula units) = -335
- calculated total energy (eV per atom) = -2.426
- calculated density (g/cm3) = 5.535